Density functional theory data (GGA-PBE) for a geometry-optimized CrReP2 structure.

a b c (Å): 2.9068 2.9068 5.7861
angles (deg): 90.00 90.00 90.00
Space group P4/mmm (No. 123)
Symmetry-distinct sites (fractional):
Cr: 0.0000 0.0000 0.0000 x1
Re: 0.0000 0.0000 0.5000 x1
P: 0.5000 0.5000 0.2377 x2

Computed properties:
DOS at the Fermi energy: 3.1 states/eV per cell
Magnetization: 0.0 μB/f.u.
ΔE to the lowest computed polymorph: 196 meV per atom
Calculated density: 10.19 g/cm³
Energy relative to the elements: -0.7 eV/f.u.